[1]
Computed, not measured: a relaxed structure of Hf4Zr2Sn at the PBE level of DFT.

Cell: 5.0397 5.0397 7.7172 Å, 70.94 70.94 60.00°
Closest atoms and distances in Å follow each position.
Sites, in units of the cell vectors:
Zr  0.7105  0.7105  0.8686  5 Hf 3.01-3.15, 3 Sn 3.06
Zr  0.2895  0.2895  0.1314  5 Hf 3.01-3.15, 3 Sn 3.06
Sn  0.0000  0.0000  0.0000  6 Zr 3.06, 2 Hf 3.19
Hf  0.1490  0.1490  0.5531  6 Hf 3.01-3.09, 1 Zr 3.01, 1 Sn 3.19
Hf  0.5660  0.5660  0.3019  4 Hf 2.83-3.09, 4 Zr 3.10-3.15
Hf  0.4340  0.4340  0.6981  4 Hf 2.83-3.09, 4 Zr 3.10-3.15
Hf  0.8510  0.8510  0.4469  6 Hf 3.01-3.09, 1 Zr 3.01, 1 Sn 3.19

Output
**ΔE_f**: -0.05 eV per atom
**Space group**: R-3m


[2]
Computed, not measured: a relaxed structure of LaCeCu at the PBE level of DFT.

Cell: 3.6119 3.6119 6.6051 Å, 105.87 105.87 90.00°
Closest atoms and distances in Å follow each position.
Sites, in units of the cell vectors:
Cu  0.6752  0.6752  0.3504  4 Ce 3.00, 4 La 3.18
Ce  0.3048  0.3048  0.6096  4 Cu 3.00
La  0.0200  0.0200  0.0400  4 Cu 3.18, 1 Ce 3.47

Output
**ΔE_f**: 0.00 eV per atom
**Relative energy among the computed polymorphs**: 0.13 eV/f.u.
**Space group**: I4mm


[3]
Computed, not measured: a relaxed structure of Ac2Ga5Hg3 at the PBE level of DFT.

Cell: 4.6698 4.6698 11.0911 Å, 90.00 90.00 90.00°
Closest atoms and distances in Å follow each position.
Sites, in units of the cell vectors:
Ga  0.5000  0.5000  0.5000  4 Hg 2.86
Ga  0.5000  0.0000  0.8865  1 Hg 2.63, 4 Ga 2.65
Ga  0.5000  0.5000  0.0000  4 Ga 2.65
Ga  0.0000  0.0000  0.0000  4 Ga 2.65
Ga  0.0000  0.5000  0.1135  1 Hg 2.63, 4 Ga 2.65
Hg  0.5000  0.0000  0.6493  3 Ga 2.63-2.86, 2 Hg 2.86
Hg  0.0000  0.0000  0.5000  4 Hg 2.86
Hg  0.0000  0.5000  0.3507  3 Ga 2.63-2.86, 2 Hg 2.86
Ac  0.5000  0.0000  0.2362  11 Ga 3.51-3.88, 6 Hg 3.54-3.74
Ac  0.0000  0.5000  0.7638  11 Ga 3.51-3.88, 6 Hg 3.54-3.74

Output
**ΔE_f**: -0.40 eV per atom
**Space group**: P-4m2


[4]
Computed, not measured: a relaxed structure of CaNi2PRh at the PBE level of DFT.

Cell: 4.2776 4.2776 4.4962 Å, 90.00 90.00 90.00°
Closest atoms and distances in Å follow each position.
Sites, in units of the cell vectors:
Ca  0.5000  0.5000  0.5000  4 Rh 3.02, 8 Ni 3.10
Ni  0.0000  0.5000  0.0000  2 P 2.14
Ni  0.5000  0.0000  0.0000  2 P 2.14
Rh  0.0000  0.0000  0.5000  2 P 2.25
P  0.0000  0.0000  0.0000  4 Ni 2.14, 2 Rh 2.25

Output
**ΔE_f**: -0.40 eV per atom
**Space group**: P4/mmm


[5]
Computed, not measured: a relaxed structure of Hg2PtCl at the PBE level of DFT.

Cell: 4.1416 4.1416 8.1732 Å, 70.27 70.27 47.29°
Closest atoms and distances in Å follow each position.
Sites, in units of the cell vectors:
Hg  0.9752  0.9752  0.9668  3 Pt 2.74-2.88, 2 Cl 2.85
Hg  0.5248  0.5248  0.5332  3 Pt 2.74-2.88, 2 Cl 2.85
Pt  0.7500  0.7500  0.7500  6 Hg 2.74-2.88
Cl  0.2500  0.2500  0.2500  4 Hg 2.85

Output
**Relative energy among the computed polymorphs**: 0.11 eV/f.u.
**Formation energy (no corrections)**: -0.0301 eV/atom
**Space group**: C2/m


[6]
Computed, not measured: a relaxed structure of ThIr2Rh at the PBE level of DFT.

Cell: 4.4922 4.4922 5.2960 Å, 64.91 64.91 60.00°
Closest atoms and distances in Å follow each position.
Sites, in units of the cell vectors:
Rh  0.5000  0.5000  0.5000  6 Ir 2.64
Th  0.0000  0.0000  0.0000  2 Ir 2.78
Ir  0.2008  0.2008  0.3977  3 Rh 2.64, 3 Ir 2.76, 1 Th 2.78
Ir  0.7992  0.7992  0.6023  3 Rh 2.64, 3 Ir 2.76, 1 Th 2.78

Output
**ΔE_f**: -0.45 eV per atom
**Space group**: R-3m


[7]
Computed, not measured: a relaxed structure of LaTiNb3 at the PBE level of DFT.

Cell: 4.8911 4.8911 4.8911 Å, 90.00 90.00 90.00°
Closest atoms and distances in Å follow each position.
Sites, in units of the cell vectors:
Nb  0.5000  0.0000  0.0000  2 Ti 2.45
Nb  0.0000  0.5000  0.0000  2 Ti 2.45
Nb  0.0000  0.0000  0.5000  2 Ti 2.45
La  0.5000  0.5000  0.5000  12 Nb 3.46
Ti  0.0000  0.0000  0.0000  6 Nb 2.45

Output
**ΔE_f**: 0.88 eV per atom
**Relative energy among the computed polymorphs**: 0.00 eV/f.u.
**Space group**: Pm-3m


[8]
Computed, not measured: a relaxed structure of HgSN2F at the PBE level of DFT.

Cell: 3.7833 3.7833 6.2597 Å, 90.00 90.00 90.00°
Closest atoms and distances in Å follow each position.
Sites, in units of the cell vectors:
F  0.0000  0.0000  0.0000  4 N 1.89
S  0.0000  0.0000  0.5000  4 Hg 2.68
N  0.5000  0.0000  0.0000  2 F 1.89
N  0.0000  0.5000  0.0000  2 F 1.89
Hg  0.5000  0.5000  0.5000  4 S 2.68

Output
**Relative energy among the computed polymorphs**: 5.50 eV/f.u.
**Formation energy (no corrections)**: 2.0418 eV/atom
**Space group**: P4/mmm


[9]
Computed, not measured: a relaxed structure of MnAsOs2 at the PBE level of DFT.

Cell: 2.8785 4.8625 5.1865 Å, 52.23 90.00 90.00°
Closest atoms and distances in Å follow each position.
Sites, in units of the cell vectors:
Os  0.5000  0.5000  0.0000  2 As 2.59, 4 Mn 2.64, 6 Os 2.83-2.88
Os  0.0000  0.0000  0.0000  2 Mn 2.59, 4 As 2.64, 6 Os 2.83-2.88
Mn  0.0000  0.0000  0.5000  6 Os 2.59-2.64, 4 As 2.83, 2 Mn 2.88
As  0.5000  0.5000  0.5000  6 Os 2.59-2.64, 4 Mn 2.83, 2 As 2.88

Output
**ΔE_f**: 0.29 eV per atom
**Space group**: P2/m


[10]
Computed, not measured: a relaxed structure of SiWAu at the PBE level of DFT.

Cell: 6.3620 6.3620 6.3620 Å, 154.40 154.40 36.52°
Closest atoms and distances in Å follow each position.
Sites, in units of the cell vectors:
Au  0.9997  0.9997  0.0000  4 Au 2.82, 4 Si 2.91, 4 W 2.92
Si  0.3237  0.3237  0.0000  4 W 2.67, 4 Si 2.82, 4 Au 2.91
W  0.6766  0.6766  0.0000  4 Si 2.67, 4 W 2.82, 4 Au 2.92

Output
**Relative energy among the computed polymorphs**: 0.49 eV/f.u.
**Formation energy (no corrections)**: 0.4291 eV/atom
**Space group**: I4mm


[11]
Computed, not measured: a relaxed structure of Tc2Ir at the PBE level of DFT.

Cell: 2.7522 7.3198 4.3803 Å, 90.00 90.00 79.16°
Closest atoms and distances in Å follow each position.
Sites, in units of the cell vectors:
Tc  0.9994  0.0012  0.0000  6 Tc 2.70-2.78, 6 Ir 2.71-2.75
Tc  0.8895  0.2210  0.5000  6 Tc 2.70-2.78, 6 Ir 2.71-2.75
Tc  0.2216  0.5567  0.5000  8 Tc 2.70-2.78, 4 Ir 2.72-2.76
Tc  0.6672  0.6655  0.0000  8 Tc 2.70-2.78, 4 Ir 2.72-2.76
Ir  0.3339  0.3322  0.0000  10 Tc 2.71-2.76, 2 Ir 2.75
Ir  0.5550  0.8900  0.5000  10 Tc 2.71-2.76, 2 Ir 2.75

Output
**ΔE_f**: -0.21 eV per atom
**Relative energy among the computed polymorphs**: 0.00 eV/f.u.
**Space group**: Cmcm


[12]
Computed, not measured: a relaxed structure of TiCrRhAu2 at the PBE level of DFT.

Cell: 4.9604 4.4183 4.9604 Å, 90.00 90.00 90.00°
Closest atoms and distances in Å follow each position.
Sites, in units of the cell vectors:
Cr  0.5000  0.5000  0.5000  8 Au 3.32, 4 Rh 3.51
Au  0.5000  0.0000  0.0000  2 Ti 2.48
Au  0.0000  0.0000  0.5000  2 Ti 2.48
Ti  0.0000  0.0000  0.0000  2 Rh 2.21
Rh  0.0000  0.5000  0.0000  2 Ti 2.21

Output
**ΔE_f**: 0.74 eV per atom
**Space group**: P4/mmm


[13]
Computed, not measured: a relaxed structure of Ca2CuO at the PBE level of DFT.

Cell: 3.3832 3.3832 8.5530 Å, 78.59 78.59 60.00°
Closest atoms and distances in Å follow each position.
Sites, in units of the cell vectors:
Ca  0.1105  0.1105  0.6686  3 O 2.41
Ca  0.8895  0.8895  0.3314  3 O 2.41
O  0.5000  0.5000  0.5000  6 Ca 2.41
Cu  0.0000  0.0000  0.0000  2 Ca 2.76

Output
**Formation energy (no corrections)**: -0.9640 eV/atom
**Space group**: R-3m


[14]
Computed, not measured: a relaxed structure of NdHoPd6 at the PBE level of DFT.

Cell: 4.1674 4.1674 8.2864 Å, 90.00 90.00 90.00°
Closest atoms and distances in Å follow each position.
Sites, in units of the cell vectors:
Pd  0.5000  0.0000  0.7431  2 Ho 2.90, 8 Pd 2.90-2.98, 2 Nd 2.98
Pd  0.5000  0.5000  0.0000  4 Nd 2.95, 8 Pd 2.98
Pd  0.0000  0.5000  0.2569  2 Ho 2.90, 8 Pd 2.90-2.98, 2 Nd 2.98
Pd  0.5000  0.0000  0.2569  2 Ho 2.90, 8 Pd 2.90-2.98, 2 Nd 2.98
Pd  0.0000  0.5000  0.7431  2 Ho 2.90, 8 Pd 2.90-2.98, 2 Nd 2.98
Pd  0.5000  0.5000  0.5000  8 Pd 2.90, 4 Ho 2.95
Nd  0.0000  0.0000  0.0000  12 Pd 2.95-2.98
Ho  0.0000  0.0000  0.5000  12 Pd 2.90-2.95

Output
**ΔE_f**: -0.82 eV per atom
**Space group**: P4/mmm


[15]
Computed, not measured: a relaxed structure of LaMoP at the PBE level of DFT.

Cell: 3.9180 3.9180 9.1405 Å, 90.00 90.00 90.00°
Closest atoms and distances in Å follow each position.
Sites, in units of the cell vectors:
La  0.0000  0.5000  0.8080  4 P 3.04
La  0.5000  0.0000  0.1920  4 P 3.04
P  0.0000  0.5000  0.3292  4 Mo 2.50
P  0.5000  0.0000  0.6708  4 Mo 2.50
Mo  0.0000  0.0000  0.5000  4 P 2.50, 4 Mo 2.77
Mo  0.5000  0.5000  0.5000  4 P 2.50, 4 Mo 2.77

Output
**ΔE_f**: -0.75 eV per atom
**Relative energy among the computed polymorphs**: 0.00 eV/f.u.
**Space group**: P4/nmm


[16]
Computed, not measured: a relaxed structure of LiAcNd2 at the PBE level of DFT.

Cell: 3.8663 5.9835 5.9835 Å, 90.00 90.00 90.00°
Closest atoms and distances in Å follow each position.
Sites, in units of the cell vectors:
Nd  0.0000  0.0000  0.5000  4 Ac 3.56, 4 Li 3.56, 2 Nd 3.87
Nd  0.0000  0.5000  0.0000  4 Ac 3.56, 4 Li 3.56, 2 Nd 3.87
Ac  0.5000  0.5000  0.5000  8 Nd 3.56, 2 Ac 3.87
Li  0.5000  0.0000  0.0000  8 Nd 3.56, 2 Li 3.87

Output
**ΔE_f**: 0.17 eV per atom
**Relative energy among the computed polymorphs**: 0.41 eV/f.u.
**Space group**: P4/mmm


[17]
Computed, not measured: a relaxed structure of SrTc2Pb at the PBE level of DFT.

Cell: 5.3774 5.3774 5.7253 Å, 75.41 75.41 40.53°
Closest atoms and distances in Å follow each position.
Sites, in units of the cell vectors:
Pb  0.2500  0.2500  0.2500  6 Tc 2.88-2.99
Tc  0.9910  0.9910  0.1295  2 Tc 2.35
Tc  0.5090  0.5090  0.3705  2 Tc 2.35
Sr  0.7500  0.7500  0.7500  4 Pb 3.42, 8 Tc 3.46-3.73, 2 Sr 3.72

Output
**ΔE_f**: 0.49 eV per atom
**Space group**: C2/m


[18]
Computed, not measured: a relaxed structure of Ho3Co at the PBE level of DFT.

Cell: 3.5292 3.3516 8.9456 Å, 90.00 90.00 90.00°
Closest atoms and distances in Å follow each position.
Sites, in units of the cell vectors:
Ho  0.5000  0.0000  0.7602  2 Co 2.65
Ho  0.5000  0.5000  0.1235  4 Co 2.75
Ho  0.0000  0.5000  0.4685  10 Ho 3.35-3.57
Co  0.0000  0.0000  0.9811  6 Ho 2.65-2.75

Output
**ΔE_f**: 0.14 eV per atom
**Space group**: Pmm2


[19]
Computed, not measured: a relaxed structure of NdAlGa3 at the PBE level of DFT.

Cell: 6.0206 6.6822 6.2258 Å, 122.46 90.01 90.00°
Closest atoms and distances in Å follow each position.
Sites, in units of the cell vectors:
Ga  0.2501  0.3843  0.1433  2 Ga 2.50-2.63, 2 Al 2.68
Ga  0.7499  0.6157  0.8567  2 Ga 2.50-2.63, 2 Al 2.68
Ga  0.7499  0.2408  0.8566  2 Ga 2.50-2.63, 2 Al 2.68
Ga  0.7501  0.2082  0.4163  2 Ga 2.63, 2 Al 2.66
Ga  0.2501  0.7592  0.1434  2 Ga 2.50-2.63, 2 Al 2.68
Ga  0.2499  0.7918  0.5837  2 Ga 2.63, 2 Al 2.66
Al  0.5000  0.0000  0.0000  6 Ga 2.66-2.68
Al  0.0000  0.0000  0.0000  6 Ga 2.66-2.68
Nd  0.7499  0.7113  0.4227  8 Ga 3.09-3.34, 2 Al 3.39
Nd  0.2501  0.2887  0.5773  8 Ga 3.09-3.34, 2 Al 3.39

Output
**ΔE_f**: -0.31 eV per atom
**Relative energy among the computed polymorphs**: 0.41 eV/f.u.
**Space group**: Cmcm


[20]
Computed, not measured: a relaxed structure of LiGe2Ir2 at the PBE level of DFT.

Cell: 4.0124 4.0124 6.1486 Å, 70.96 70.96 90.00°
Closest atoms and distances in Å follow each position.
Sites, in units of the cell vectors:
Li  0.0000  0.0000  0.0000  8 Ir 3.11, 8 Ge 3.39
Ge  0.7500  0.2500  0.5000  4 Ir 2.48
Ge  0.2500  0.7500  0.5000  4 Ir 2.48
Ir  0.6160  0.6160  0.7680  4 Ge 2.48, 1 Ir 2.53
Ir  0.3840  0.3840  0.2320  4 Ge 2.48, 1 Ir 2.53

Output
**ΔE_f**: -0.19 eV per atom
**Space group**: I4/mmm